# 1
ZrTc2 PBEsol optimized geometry; DFT total energy = -0.7953 Ry per atom; spin magnetization = 0.000 Bohr magnetons per cell; relative energy among the computed polymorphs = 0.030 eV/f.u.; energy relative to the elements = -280 meV/atom; space group = Fd-3m
1.0
-3.9911 0.5212 3.2924
0.5908 -1.2310 5.0176
0.0756 3.7469 3.6050
Zr Tc
2 4
direct
0.5000 0.5000 0.5000
0.7500 0.7500 0.7500
0.6250 0.1250 0.1250
0.1250 0.1250 0.6250
0.1250 0.1250 0.1250
0.1250 0.6250 0.1250

# 2
Y2AlCrPb PBEsol optimized geometry; DFT total energy = -0.4522 Ry per atom; spin magnetization = 0.004 Bohr magnetons per cell; energy relative to the elements = 243 meV/atom; space group = P4/mmm
1.0
-0.3372 1.1782 4.6330
-4.6466 -1.8338 0.1282
1.8043 -4.4831 1.2714
Pb Cr Al Y
1 1 1 2
direct
0.5000 0.5000 0.5000
0.0000 0.0000 0.0000
0.5000 0.0000 0.0000
0.0000 0.5000 0.0000
0.0000 0.0000 0.5000

# 3
RbBaReRu2 PBEsol optimized geometry; DFT total energy = -0.3248 Ry per atom; spin magnetization = 4.000 Bohr magnetons per cell; energy relative to the elements = 2952 meV/atom; space group = P4/mmm
1.0
4.8982 0.0000 0.0000
0.0000 4.8982 0.0000
0.0000 0.0000 4.9925
Rb Ba Ru Re
1 1 2 1
direct
0.0000 0.0000 0.0000
0.5000 0.5000 0.5000
0.0000 0.5000 0.0000
0.5000 0.0000 0.0000
0.0000 0.0000 0.5000

# 4
Ni5Rh PBEsol optimized geometry; DFT total energy = -0.4685 Ry per atom; spin magnetization = 3.370 Bohr magnetons per cell; energy relative to the elements = 113 meV/atom; space group = P4/mmm
1.0
2.9142 0.0000 0.0000
0.0000 2.9142 0.0000
0.0000 0.0000 7.7811
Ni Rh
5 1
direct
0.0000 0.0000 0.1838
0.0000 0.0000 0.5000
0.5000 0.5000 0.3401
0.0000 0.0000 0.8162
0.5000 0.5000 0.6599
0.5000 0.5000 0.0000

# 5
NaPt2C PBEsol optimized geometry; DFT total energy = -0.4340 Ry per atom; spin magnetization = 0.000 Bohr magnetons per cell; relative energy among the computed polymorphs = 0.000 eV/f.u.; energy relative to the elements = 338 meV/atom; space group = I4_1/amd
1.0
-2.2121 1.2083 -4.6257
3.6835 -2.8185 -2.4977
-4.1184 -3.9487 3.9376
Pt Na C
4 2 2
direct
0.6250 0.3750 0.2500
0.6250 0.3750 0.7500
0.1250 0.3750 0.7500
0.6250 0.8750 0.2500
0.2500 0.7500 0.5000
0.0000 0.0000 0.0000
0.7500 0.2500 0.5000
0.5000 0.5000 0.0000

# 6
Be2NiTe PBEsol optimized geometry; DFT total energy = -0.3006 Ry per atom; energy relative to the elements, uncorrected = 0.331 eV/atom; spin magnetization = 0.000 Bohr magnetons per cell; space group = P2/m
1.0
3.8408 0.0000 0.0000
0.0000 3.8686 0.0229
0.0000 0.0139 3.8542
Be Ni Te
2 1 1
direct
0.0000 0.7852 0.8372
0.0000 0.2148 0.1628
0.5000 0.0000 0.0000
0.5000 0.5000 0.5000

> Which of these has the lowest DFT total energy?

ZrTc2

> Which value of spin magnetization does entry 4 give?

3.370 Bohr magnetons per cell

> Look up the DFT total energy of the fifth one.

-0.4340 Ry per atom